! Cu PBE relaxed; values from VASP
&SYSTEM
  ibrav = 0, nat = 8, ntyp = 1
/
ATOMIC_SPECIES
Cu 63.55 Cu.upf
CELL_PARAMETERS angstrom
-4.549 4.549 1.242
4.549 -4.549 1.242
4.549 4.549 -1.242
ATOMIC_POSITIONS angstrom
Cu 7.607 0.887 0.000
Cu 3.269 0.888 0.000
Cu 0.887 1.491 0.000
Cu 3.661 -1.280 1.242
Cu 0.888 5.829 0.000
Cu 3.662 3.058 1.242
Cu 1.280 3.661 1.242
Cu -3.058 3.662 1.242
! **Raw total energy**: -3.889 eV per atom
! **ΔH_f (0 K)**: 0.21 eV/atom
! **Total magnetization**: 0.000 μB per cell
! **Relative energy among the computed polymorphs**: 20 kJ/mol of formula units

---

! Hf2CrNi2 PBE relaxed; values from VASP
&SYSTEM
  ibrav = 0, nat = 5, ntyp = 3
/
ATOMIC_SPECIES
Hf 178.49 Hf.upf
Cr 52.00 Cr.upf
Ni 58.69 Ni.upf
CELL_PARAMETERS angstrom
-1.650 1.650 7.466
1.650 -1.650 7.466
1.650 1.650 -7.466
ATOMIC_POSITIONS angstrom
Hf 0.000 0.000 1.601
Hf 0.000 0.000 13.331
Cr 0.000 0.000 7.466
Ni 1.650 0.000 3.733
Ni 0.000 1.650 3.733
! **Raw total energy**: -8.145 eV per atom
! **ΔH_f (0 K)**: 0.07 eV/atom
! **Total magnetization**: 1.471 μB per cell
! **Relative energy among the computed polymorphs**: 152 kJ/mol of formula units

---

! AlNi9Sb2 PBE relaxed; values from VASP
&SYSTEM
  ibrav = 0, nat = 12, ntyp = 3
/
ATOMIC_SPECIES
Al 26.98 Al.upf
Ni 58.69 Ni.upf
Sb 121.76 Sb.upf
CELL_PARAMETERS angstrom
3.686 0.000 0.000
0.000 3.686 0.000
0.000 0.000 10.969
ATOMIC_POSITIONS angstrom
Al 0.000 0.000 0.000
Ni 0.000 1.843 1.724
Ni 0.000 1.843 5.484
Ni 0.000 1.843 9.245
Ni 1.843 0.000 1.724
Ni 1.843 0.000 5.484
Ni 1.843 0.000 9.245
Ni 1.843 1.843 0.000
Ni 1.843 1.843 3.637
Ni 1.843 1.843 7.332
Sb 0.000 0.000 3.572
Sb 0.000 0.000 7.397
! **Raw total energy**: -5.586 eV per atom
! **Total magnetization**: 0.000 μB per cell
! **Formation energy from raw total energies**: -0.25 eV/atom

---

! BaHgSe2 PBE relaxed; values from VASP
&SYSTEM
  ibrav = 0, nat = 4, ntyp = 3
/
ATOMIC_SPECIES
Ba 137.33 Ba.upf
Hg 200.59 Hg.upf
Se 78.96 Se.upf
CELL_PARAMETERS angstrom
-2.253 3.231 4.113
2.253 -3.231 4.113
2.253 3.231 -4.113
ATOMIC_POSITIONS angstrom
Ba 0.000 0.000 0.000
Hg 0.000 0.000 4.113
Se 2.253 0.000 2.362
Se 0.000 3.231 1.751
! **Raw total energy**: -3.178 eV per atom
! **Total magnetization**: 0.000 μB per cell
! **Formation energy from raw total energies**: -0.88 eV/atom

---

! CsRe2W PBE relaxed; values from VASP
&SYSTEM
  ibrav = 0, nat = 8, ntyp = 3
/
ATOMIC_SPECIES
Cs 132.91 Cs.upf
Re 186.21 Re.upf
W 183.84 W.upf
CELL_PARAMETERS angstrom
-3.879 3.879 2.872
3.879 -3.879 2.872
3.879 3.879 -2.872
ATOMIC_POSITIONS angstrom
Cs 0.000 0.000 0.000
Cs 0.000 3.879 1.436
Re 1.939 -1.511 2.154
Re 2.367 1.939 0.718
Re 1.939 5.390 -0.718
Re 1.511 1.939 3.590
W 3.879 0.000 1.436
W 0.000 0.000 2.872
! **Raw total energy**: -7.462 eV per atom
! **ΔH_f (0 K)**: 2.21 eV/atom
! **Total magnetization**: 0.000 μB per cell
! **Relative energy among the computed polymorphs**: 36 kJ/mol of formula units

---

! Sr2MnAs PBE relaxed; values from VASP
&SYSTEM
  ibrav = 0, nat = 4, ntyp = 3
/
ATOMIC_SPECIES
Sr 87.62 Sr.upf
Mn 54.94 Mn.upf
As 74.92 As.upf
CELL_PARAMETERS angstrom
3.869 0.000 0.000
0.000 4.095 0.000
0.000 0.000 7.372
ATOMIC_POSITIONS angstrom
Sr 0.000 0.000 1.672
Sr 0.000 0.000 5.700
Mn 1.934 2.047 3.686
As 1.934 2.047 0.000
! **Raw total energy**: -4.469 eV per atom
! **ΔH_f (0 K)**: -0.17 eV/atom
! **Total magnetization**: 4.262 μB per cell

---

! MgBi PBE relaxed; values from VASP
&SYSTEM
  ibrav = 0, nat = 8, ntyp = 2
/
ATOMIC_SPECIES
Mg 24.30 Mg.upf
Bi 208.98 Bi.upf
CELL_PARAMETERS angstrom
-5.838 5.838 1.716
5.838 -5.838 1.716
5.838 5.838 -1.716
ATOMIC_POSITIONS angstrom
Mg 4.279 1.135 0.000
Mg 4.703 -1.559 1.716
Mg 1.135 7.397 0.000
Mg 1.559 4.703 1.716
Bi 9.542 1.102 0.000
Bi 1.102 2.135 0.000
Bi 4.736 3.704 1.716
Bi -3.704 4.736 1.716
! **Raw total energy**: -2.743 eV per atom
! **ΔH_f (0 K)**: -0.01 eV/atom
! **Total magnetization**: 0.000 μB per cell

---

! RbSr2F2 PBE relaxed; values from VASP
&SYSTEM
  ibrav = 0, nat = 5, ntyp = 3
/
ATOMIC_SPECIES
Rb 85.47 Rb.upf
Sr 87.62 Sr.upf
F 19.00 F.upf
CELL_PARAMETERS angstrom
-2.124 2.124 10.461
2.124 -2.124 10.461
2.124 2.124 -10.461
ATOMIC_POSITIONS angstrom
Rb 0.000 0.000 0.000
Sr 0.000 0.000 6.606
Sr 0.000 0.000 14.315
F 2.124 0.000 5.230
F 0.000 2.124 5.230
! **Raw total energy**: -3.869 eV per atom
! **Total magnetization**: 0.000 μB per cell
! **Formation energy from raw total energies**: -2.25 eV/atom

---

! AlTlO2 PBE relaxed; values from VASP
&SYSTEM
  ibrav = 0, nat = 8, ntyp = 3
/
ATOMIC_SPECIES
Al 26.98 Al.upf
Tl 204.38 Tl.upf
O 16.00 O.upf
CELL_PARAMETERS angstrom
5.399 -1.573 0.000
5.399 1.573 0.000
-4.917 0.000 7.491
ATOMIC_POSITIONS angstrom
Al 0.000 0.000 0.000
Al -1.913 0.000 5.931
Tl 2.974 0.000 1.920
Tl 5.861 0.000 3.629
O -0.403 0.000 1.733
O -3.227 0.000 7.088
O -0.311 0.000 6.876
O 3.575 0.000 5.065
! **Raw total energy**: -6.033 eV per atom
! **Total magnetization**: 0.000 μB per cell
! **Formation energy from raw total energies**: -2.03 eV/atom
! **Relative energy among the computed polymorphs**: 40 kJ/mol of formula units

---

! La2Pm3Tl2 PBE relaxed; values from VASP
&SYSTEM
  ibrav = 0, nat = 7, ntyp = 3
/
ATOMIC_SPECIES
La 138.91 La.upf
Pm 145.00 Pm.upf
Tl 204.38 Tl.upf
CELL_PARAMETERS angstrom
-1.885 2.693 11.413
1.885 -2.693 11.413
1.885 2.693 -11.413
ATOMIC_POSITIONS angstrom
La 0.000 0.000 1.647
La 0.000 0.000 21.179
Pm 1.885 0.000 4.637
Pm 0.000 0.000 11.413
Pm 0.000 2.693 6.777
Tl 1.885 0.000 7.929
Tl 0.000 2.693 3.484
! **Raw total energy**: -4.234 eV per atom
! **ΔH_f (0 K)**: -0.11 eV/atom
! **Total magnetization**: 0.000 μB per cell
! **Relative energy among the computed polymorphs**: 70 kJ/mol of formula units

---

! CaZnN PBE relaxed; values from VASP
&SYSTEM
  ibrav = 0, nat = 12, ntyp = 3
/
ATOMIC_SPECIES
Ca 40.08 Ca.upf
Zn 65.41 Zn.upf
N 14.01 N.upf
CELL_PARAMETERS angstrom
6.026 0.000 0.000
0.000 3.775 0.000
0.000 0.000 8.237
ATOMIC_POSITIONS angstrom
Ca 0.727 0.944 1.106
Ca 2.286 2.832 5.225
Ca 3.739 0.944 3.013
Ca 5.299 2.832 7.131
Zn 0.240 2.832 3.191
Zn 2.773 0.944 7.310
Zn 3.253 2.832 0.928
Zn 5.785 0.944 5.047
N 0.798 0.944 6.796
N 2.214 2.832 2.677
N 3.811 0.944 5.560
N 5.227 2.832 1.442
! **Raw total energy**: -4.311 eV per atom
! **Total magnetization**: 0.000 μB per cell
! **Formation energy from raw total energies**: -0.44 eV/atom

---

! BaIr2Os PBE relaxed; values from VASP
&SYSTEM
  ibrav = 0, nat = 4, ntyp = 3
/
ATOMIC_SPECIES
Ba 137.33 Ba.upf
Ir 192.22 Ir.upf
Os 190.23 Os.upf
CELL_PARAMETERS angstrom
1.453 0.839 10.185
-1.453 0.839 10.185
0.000 -1.678 10.185
ATOMIC_POSITIONS angstrom
Ba 0.000 0.000 0.000
Ir 0.000 0.000 15.300
Ir 0.000 0.000 23.295
Os 0.000 0.000 7.163
! **Raw total energy**: -6.780 eV per atom
! **ΔH_f (0 K)**: 0.94 eV/atom
! **Total magnetization**: 0.392 μB per cell
! **Relative energy among the computed polymorphs**: 316 kJ/mol of formula units

---

! CsZnSi2Pt PBE relaxed; values from VASP
&SYSTEM
  ibrav = 0, nat = 5, ntyp = 4
/
ATOMIC_SPECIES
Cs 132.91 Cs.upf
Zn 65.41 Zn.upf
Si 28.09 Si.upf
Pt 195.08 Pt.upf
CELL_PARAMETERS angstrom
4.881 0.000 0.000
0.000 4.881 0.000
0.000 0.000 5.088
ATOMIC_POSITIONS angstrom
Cs 0.000 0.000 0.000
Zn 2.440 2.440 2.544
Si 0.000 2.440 2.544
Si 2.440 0.000 2.544
Pt 2.440 2.440 0.000
! **Raw total energy**: -3.123 eV per atom
! **Total magnetization**: 0.000 μB per cell
! **Formation energy from raw total energies**: 0.68 eV/atom

---

! Pr2AlInO6 PBE relaxed; values from VASP
&SYSTEM
  ibrav = 0, nat = 20, ntyp = 4
/
ATOMIC_SPECIES
Pr 140.91 Pr.upf
Al 26.98 Al.upf
In 114.82 In.upf
O 16.00 O.upf
CELL_PARAMETERS angstrom
5.565 0.000 0.000
0.000 5.724 0.000
-5.514 0.000 7.967
ATOMIC_POSITIONS angstrom
Pr -0.067 0.289 1.992
Pr -2.824 2.573 5.976
Pr 2.875 3.151 1.991
Pr 0.117 5.435 5.975
Al -2.757 0.000 3.983
Al 0.000 2.862 0.000
In 2.782 0.000 0.000
In 0.025 2.862 3.983
O -4.459 1.262 7.540
O -1.702 1.599 3.557
O -3.968 3.962 7.582
O -1.211 4.624 3.598
O -2.218 0.173 5.848
O 0.539 2.689 1.864
O -0.488 3.035 6.103
O 2.269 5.551 2.119
O 1.262 1.100 4.369
O 4.019 1.762 0.385
O 1.753 4.124 4.410
O 4.510 4.461 0.427
! **Raw total energy**: -7.389 eV per atom
! **Total magnetization**: 0.000 μB per cell
! **Formation energy from raw total energies**: -2.81 eV/atom

---

! NaLi2As2Au2 PBE relaxed; values from VASP
&SYSTEM
  ibrav = 0, nat = 7, ntyp = 4
/
ATOMIC_SPECIES
Na 22.99 Na.upf
Li 6.94 Li.upf
As 74.92 As.upf
Au 196.97 Au.upf
CELL_PARAMETERS angstrom
2.188 1.263 8.342
-2.188 1.263 8.342
0.000 -2.526 8.342
ATOMIC_POSITIONS angstrom
Na 0.000 0.000 0.000
Li 0.000 0.000 3.553
Li 0.000 0.000 21.472
As 0.000 0.000 6.278
As 0.000 0.000 18.747
Au 0.000 0.000 10.865
Au 0.000 0.000 14.160
! **Raw total energy**: -3.486 eV per atom
! **ΔH_f (0 K)**: -0.49 eV/atom
! **Total magnetization**: 0.000 μB per cell

---

! In2FeReTe PBE relaxed; values from VASP
&SYSTEM
  ibrav = 0, nat = 5, ntyp = 4
/
ATOMIC_SPECIES
In 114.82 In.upf
Fe 55.84 Fe.upf
Re 186.21 Re.upf
Te 127.60 Te.upf
CELL_PARAMETERS angstrom
4.938 0.000 0.000
0.000 4.938 0.000
0.000 0.000 4.557
ATOMIC_POSITIONS angstrom
In 0.000 2.469 0.000
In 2.469 0.000 0.000
Fe 0.000 0.000 0.000
Re 0.000 0.000 2.279
Te 2.469 2.469 2.279
! **Raw total energy**: -5.137 eV per atom
! **Total magnetization**: 0.565 μB per cell
! **Formation energy from raw total energies**: 0.77 eV/atom

---

! Fe2AgPt PBE relaxed; values from VASP
&SYSTEM
  ibrav = 0, nat = 4, ntyp = 3
/
ATOMIC_SPECIES
Fe 55.84 Fe.upf
Ag 107.87 Ag.upf
Pt 195.08 Pt.upf
CELL_PARAMETERS angstrom
2.708 0.000 0.000
0.000 4.160 0.000
-1.340 0.000 5.126
ATOMIC_POSITIONS angstrom
Fe 0.000 0.000 0.000
Fe -0.157 2.080 1.305
Ag -0.043 2.080 3.965
Pt 1.259 0.000 2.366
! **Raw total energy**: -6.335 eV per atom
! **ΔH_f (0 K)**: 0.12 eV/atom
! **Total magnetization**: 5.735 μB per cell

---

! Pm3U2S8 PBE relaxed; values from VASP
&SYSTEM
  ibrav = 0, nat = 13, ntyp = 3
/
ATOMIC_SPECIES
Pm 145.00 Pm.upf
U 238.03 U.upf
S 32.06 S.upf
CELL_PARAMETERS angstrom
7.100 -4.023 0.000
7.100 4.023 0.000
-2.347 0.000 6.329
ATOMIC_POSITIONS angstrom
Pm 0.000 0.000 0.000
Pm 5.926 1.903 3.165
Pm 5.926 -1.903 3.165
U 1.754 0.000 5.327
U 10.098 0.000 1.002
S 5.068 2.180 0.512
S 0.679 0.000 2.771
S 6.785 2.180 5.817
S 4.090 0.000 3.977
S 7.762 0.000 2.353
S 5.068 -2.180 0.512
S 11.173 0.000 3.558
S 6.785 -2.180 5.817
! **Raw total energy**: -7.025 eV per atom
! **Total magnetization**: 5.001 μB per cell
! **Formation energy from raw total energies**: -1.65 eV/atom

---

! SiBi PBE relaxed; values from VASP
&SYSTEM
  ibrav = 0, nat = 8, ntyp = 2
/
ATOMIC_SPECIES
Si 28.09 Si.upf
Bi 208.98 Bi.upf
CELL_PARAMETERS angstrom
-5.886 5.886 1.770
5.886 -5.886 1.770
5.886 5.886 -1.770
ATOMIC_POSITIONS angstrom
Si 8.319 2.317 0.000
Si 2.317 3.453 0.000
Si 3.569 2.433 1.770
Si -2.433 3.569 1.770
Bi 5.749 3.410 0.000
Bi 2.476 -0.137 1.770
Bi 3.410 6.023 0.000
Bi 0.137 2.476 1.770
! **Raw total energy**: -4.228 eV per atom
! **Total magnetization**: 0.000 μB per cell
! **Formation energy from raw total energies**: 0.42 eV/atom

---

! Cd2In2Rh PBE relaxed; values from VASP
&SYSTEM
  ibrav = 0, nat = 5, ntyp = 3
/
ATOMIC_SPECIES
Cd 112.41 Cd.upf
In 114.82 In.upf
Rh 102.91 Rh.upf
CELL_PARAMETERS angstrom
-1.982 1.982 7.475
1.982 -1.982 7.475
1.982 1.982 -7.475
ATOMIC_POSITIONS angstrom
Cd 0.000 0.000 1.331
Cd 0.000 0.000 13.618
In 1.982 0.000 3.737
In 0.000 1.982 3.737
Rh 0.000 0.000 7.475
! **Raw total energy**: -2.517 eV per atom
! **ΔH_f (0 K)**: 0.41 eV/atom
! **Total magnetization**: 0.000 μB per cell
! **Relative energy among the computed polymorphs**: 95 kJ/mol of formula units